Below is an optimized crystal structure of Li4PbAu2, with properties calculated at the GGA-PBE level.

```
14
Lattice="5.102 0.000 0.000 0.802 6.701 0.000 2.086 0.610 7.380" Properties=species:S:1:pos:R:3 pbc="T T T"
Li 0.000 0.000 0.000
Li 1.658 6.166 2.877
Li 1.676 4.092 0.566
Li 2.627 3.529 3.532
Li 3.367 0.546 4.084
Li 5.072 4.542 4.622
Li 6.356 3.960 7.123
Li 5.915 1.588 5.241
Pb 2.661 1.219 1.068
Pb 5.194 2.478 2.574
Au 2.636 5.482 5.355
Au 3.361 2.662 5.893
Au 5.250 6.365 6.462
Au 4.232 5.207 2.004
```

Properties
Polymorph energy (0 for the lowest one) ... 0.026 eV per atom
Formation energy ... -387 meV/atom

=====

Below is an optimized crystal structure of NaYTiO4, with properties calculated at the GGA-PBE level.

```
28
Lattice="12.483 0.000 0.000 0.000 5.437 0.000 0.000 0.000 5.298" Properties=species:S:1:pos:R:3 pbc="T T T"
Na 1.079 0.008 1.325
Na 1.079 2.710 3.974
Na 11.404 2.727 1.325
Na 11.404 5.429 3.974
Y 4.916 0.137 1.325
Y 4.916 2.582 3.974
Y 7.568 2.856 1.325
Y 7.568 5.300 3.974
Ti 2.963 2.766 1.325
Ti 2.963 5.390 3.974
Ti 9.521 0.047 1.325
Ti 9.521 2.672 3.974
O 1.218 2.985 1.325
O 1.218 5.171 3.974
O 3.202 1.359 0.000
O 3.202 1.359 2.649
O 3.615 4.078 0.000
O 3.615 4.078 2.649
O 5.446 0.394 3.974
O 5.446 2.325 1.325
O 7.037 3.112 3.974
O 7.037 5.044 1.325
O 8.868 1.359 0.000
O 8.868 1.359 2.649
O 9.281 4.078 0.000
O 9.281 4.078 2.649
O 11.265 0.266 1.325
O 11.265 2.452 3.974
```

Properties
Final energy ... -8.04 eV/atom

=====

Below is an optimized crystal structure of NpAl10Ru2, with properties calculated at the GGA-PBE level.

```
26
Lattice="4.522 -5.134 0.000 4.522 5.134 0.000 0.000 0.000 9.130" Properties=species:S:1:pos:R:3 pbc="T T T"
Np 4.522 3.904 6.847
Np 4.522 -3.904 2.282
Al 2.483 1.394 6.847
Al 4.522 3.517 0.916
Al 4.522 3.517 3.649
Al 3.158 1.326 2.282
Al 2.019 0.000 0.000
Al 2.019 0.000 4.565
Al 4.522 1.267 5.039
Al 4.522 1.267 8.656
Al 2.483 -1.394 2.282
Al 3.158 -1.326 6.847
Al 5.885 1.326 2.282
Al 6.560 1.394 6.847
Al 4.522 -1.267 0.474
Al 4.522 -1.267 4.091
Al 7.024 0.000 0.000
Al 7.024 0.000 4.565
Al 5.885 -1.326 6.847
Al 4.522 -3.517 5.481
Al 4.522 -3.517 8.214
Al 6.560 -1.394 2.282
Ru 2.261 2.567 0.000
Ru 2.261 2.567 4.565
Ru 2.261 -2.567 0.000
Ru 2.261 -2.567 4.565
```

Properties
Formation energy ... -410 meV/atom

=====

Below is an optimized crystal structure of NbV3Ir6, with properties calculated at the GGA-PBE level.

```
20
Lattice="8.532 0.000 0.000 0.000 3.887 0.000 -0.214 0.000 8.753" Properties=species:S:1:pos:R:3 pbc="T T T"
Nb 0.403 0.972 3.377
Nb 7.914 2.915 5.376
V 2.158 0.972 0.066
V 2.815 2.915 6.983
V 3.666 0.972 5.242
V 4.651 2.915 3.511
V 5.502 0.972 1.770
V 6.159 2.915 8.687
Ir 0.316 2.915 7.919
Ir 1.276 2.915 1.731
Ir 1.192 0.972 6.188
Ir 2.071 2.915 4.376
Ir 3.028 0.972 2.638
Ir 3.860 2.915 0.876
Ir 4.457 0.972 7.877
Ir 5.289 2.915 6.115
Ir 6.246 0.972 4.377
Ir 7.125 2.915 2.565
Ir 7.041 0.972 7.022
Ir 8.001 0.972 0.834
```

Properties
Formation energy ... -486 meV/atom

=====

Below is an optimized crystal structure of Ac6ZnRu2, with properties calculated at the GGA-PBE level.

```
9
Lattice="7.959 -2.045 0.000 7.959 2.045 0.000 -2.618 0.000 9.783" Properties=species:S:1:pos:R:3 pbc="T T T"
Ac -0.332 0.000 3.347
Ac 1.946 0.000 6.495
Ac 5.539 0.000 0.759
Ac 7.760 0.000 9.025
Ac 11.353 0.000 3.288
Ac 13.631 0.000 6.437
Zn 0.000 0.000 0.000
Ru 5.433 0.000 3.825
Ru 7.867 0.000 5.959
```

Properties
Polymorph energy (0 for the lowest one) ... 0.035 eV per atom
Formation energy ... -113 meV/atom

=====

Below is an optimized crystal structure of As6Pd12Au, with properties calculated at the GGA-PBE level.

```
19
Lattice="5.992 3.459 2.661 -5.992 3.459 2.661 0.000 -6.919 2.661" Properties=species:S:1:pos:R:3 pbc="T T T"
As 0.000 -2.903 3.246
As -2.514 1.451 3.246
As -2.514 -1.451 4.738
As 2.514 1.451 3.246
As 2.514 -1.451 4.738
As 0.000 2.903 4.738
Pd -2.254 -3.903 3.992
Pd -4.507 0.000 3.992
Pd -1.430 -0.826 2.485
Pd 1.430 -0.826 2.485
Pd 0.000 1.651 2.485
Pd 2.254 -3.903 3.992
Pd -2.254 3.903 3.992
Pd 0.000 -1.651 5.500
Pd -1.430 0.826 5.500
Pd 1.430 0.826 5.500
Pd 4.507 0.000 3.992
Pd 2.254 3.903 3.992
Au 0.000 0.000 0.000
```

Properties
Formation energy ... -212 meV/atom